# 1
Ga3RhCl at its PBEsol-relaxed geometry, computed with SCAN.

Lattice parameters (Å, degrees): 4.7054 4.7054 4.7054 90.00 90.00 90.00
Positions (direct):
Rh1 0.5000 0.5000 0.5000
Ga1 0.0000 0.5000 0.0000
Ga2 0.0000 0.0000 0.5000
Ga3 0.5000 0.0000 0.0000
Cl1 0.0000 0.0000 0.0000

Calculated values
Uncorrected formation energy, eV/atom: 0.96
Symmetry: Pm-3m (221)
Magnetization, Bohr magnetons per cell: 0.00



# 2
GaRuS2Cl at its PBEsol-relaxed geometry, computed with SCAN.

Lattice parameters (Å, degrees): 4.6215 4.6215 4.6239 90.00 90.00 90.00
Site moments in Bohr magnetons follow the coordinates.
Positions (direct):
Ru1 0.5000 0.5000 0.5000  3.13
S1 0.0000 0.5000 0.0000  0.19
S2 0.5000 0.0000 0.0000  0.19
Ga1 0.0000 0.0000 0.0000  -0.01
Cl1 0.0000 0.0000 0.5000  0.07

Calculated values
Uncorrected formation energy, eV/atom: 0.56
Symmetry: P4/mmm (123)
Magnetization, Bohr magnetons per cell: 3.95



# 3
GaTeS2Cl at its PBEsol-relaxed geometry, computed with SCAN.

Lattice parameters (Å, degrees): 5.0352 5.0352 5.2209 90.00 90.00 90.00
Positions (direct):
S1 0.0000 0.5000 0.0000
S2 0.5000 0.0000 0.0000
Te1 0.0000 0.0000 0.0000
Ga1 0.5000 0.5000 0.5000
Cl1 0.0000 0.0000 0.5000

Calculated values
Uncorrected formation energy, eV/atom: 0.07
Symmetry: P4/mmm (123)
Magnetization, Bohr magnetons per cell: 0.00



Which value of magnetization does entry 1 give? 0.00 Bohr magnetons per cell